# 1
Below is an optimized crystal structure of Ca2ScAl2Pt5, with properties calculated at the PBE level.

Calculated values
Formation enthalpy at 0 K (eV/atom): -1.01
D(E_F) (states/eV/atom): 0.54
Space group: No. 127

```
Ca2ScAl2Pt5
1.0
9.861 0.000 0.000
0.000 9.861 0.000
0.000 0.000 3.734
Ca Sc Al Pt
4 2 4 10
Direct
0.175 0.325 0.000
0.325 0.825 0.000
0.675 0.175 0.000
0.825 0.675 0.000
0.000 0.000 0.000
0.500 0.500 0.000
0.122 0.622 0.000
0.378 0.122 0.000
0.622 0.878 0.000
0.878 0.378 0.000
0.000 0.500 0.500
0.067 0.791 0.500
0.209 0.067 0.500
0.291 0.567 0.500
0.433 0.291 0.500
0.500 0.000 0.500
0.567 0.709 0.500
0.709 0.433 0.500
0.791 0.933 0.500
0.933 0.209 0.500
```

# 2
Below is an optimized crystal structure of Ca2ScAl3Pt4, with properties calculated at the PBE level.

Calculated values
Formation enthalpy at 0 K (eV/atom): -1.03
D(E_F) (states/eV/atom): 0.57
Space group: No. 115

```
Ca2ScAl3Pt4
1.0
4.323 0.000 0.000
0.000 4.323 0.000
0.000 0.000 10.634
Ca Sc Al Pt
2 1 3 4
Direct
0.000 0.500 0.233
0.500 0.000 0.767
0.000 0.000 0.500
0.000 0.500 0.880
0.500 0.000 0.120
0.500 0.500 0.500
0.000 0.000 0.000
0.000 0.500 0.645
0.500 0.000 0.355
0.500 0.500 0.000
```

# 3
Below is an optimized crystal structure of CaAl2SiPt4, with properties calculated at the PBE level.

Calculated values
D(E_F) (states/eV/atom): 0.22
Space group: No. 166
ΔE_f (raw) (eV per atom): -0.887

```
CaAl2SiPt4
1.0
2.148 1.240 8.681
-2.148 1.240 8.681
0.000 -2.480 8.681
Ca Al Si Pt
1 2 1 4
Direct
0.000 0.000 0.000
0.246 0.246 0.246
0.754 0.754 0.754
0.500 0.500 0.500
0.139 0.139 0.139
0.408 0.408 0.408
0.592 0.592 0.592
0.861 0.861 0.861
```

# 4
Below is an optimized crystal structure of Ca2AlSi3Pt4, with properties calculated at the PBE level.

Calculated values
D(E_F) (states/eV/atom): 0.50
Space group: No. 115
ΔE_f (raw) (eV per atom): -0.997

```
Ca2AlSi3Pt4
1.0
4.173 0.000 0.000
0.000 4.173 0.000
0.000 0.000 10.280
Ca Al Si Pt
2 1 3 4
Direct
0.000 0.500 0.249
0.500 0.000 0.751
0.000 0.000 0.500
0.000 0.500 0.869
0.500 0.000 0.131
0.500 0.500 0.500
0.000 0.000 0.000
0.000 0.500 0.635
0.500 0.000 0.365
0.500 0.500 0.000
```

# 5
Below is an optimized crystal structure of Ca2Al3SiPt4, with properties calculated at the PBE level.

Calculated values
D(E_F) (states/eV/atom): 0.38
Space group: No. 115
ΔE_f (raw) (eV per atom): -1.009

```
Ca2Al3SiPt4
1.0
4.351 0.000 0.000
0.000 4.351 0.000
0.000 0.000 9.897
Ca Al Si Pt
2 3 1 4
Direct
0.000 0.500 0.249
0.500 0.000 0.751
0.000 0.500 0.874
0.500 0.000 0.126
0.500 0.500 0.500
0.000 0.000 0.500
0.000 0.000 0.000
0.000 0.500 0.624
0.500 0.000 0.376
0.500 0.500 0.000
```

# 6
Below is an optimized crystal structure of SrCaAlPt, with properties calculated at the PBE level.

Calculated values
Formation enthalpy at 0 K (eV/atom): -0.68
D(E_F) (states/eV/atom): 0.65
Space group: No. 160

```
SrCaAlPt
1.0
2.180 1.259 7.673
-2.180 1.259 7.673
0.000 -2.517 7.673
Sr Ca Al Pt
1 1 1 1
Direct
0.000 0.000 0.000
0.175 0.175 0.175
0.760 0.760 0.760
0.427 0.427 0.427
```

# 7
Below is an optimized crystal structure of Sr2CaAlPt, with properties calculated at the PBE level.

Calculated values
Formation enthalpy at 0 K (eV/atom): 1.04
D(E_F) (states/eV/atom): 0.95
Space group: No. 123

```
Sr2CaAlPt
1.0
6.317 0.000 0.000
0.000 6.317 0.000
0.000 0.000 5.159
Sr Ca Al Pt
2 1 1 1
Direct
0.000 0.500 0.000
0.500 0.000 0.000
0.000 0.000 0.000
0.000 0.000 0.500
0.500 0.500 0.500
```

# 8
Below is an optimized crystal structure of SrCa2AlPt, with properties calculated at the PBE level.

Calculated values
Formation enthalpy at 0 K (eV/atom): -0.45
D(E_F) (states/eV/atom): 0.70
Space group: No. 123

```
SrCa2AlPt
1.0
5.630 0.000 0.000
0.000 5.630 0.000
0.000 0.000 4.950
Sr Ca Al Pt
1 2 1 1
Direct
0.000 0.000 0.000
0.000 0.500 0.500
0.500 0.000 0.500
0.500 0.500 0.000
0.500 0.500 0.500
```

# 9
Below is an optimized crystal structure of Sr2CaAlPt, with properties calculated at the PBE level.

Calculated values
Formation enthalpy at 0 K (eV/atom): -0.38
D(E_F) (states/eV/atom): 0.69
Space group: No. 123

```
Sr2CaAlPt
1.0
5.980 0.000 0.000
0.000 5.980 0.000
0.000 0.000 4.889
Sr Ca Al Pt
2 1 1 1
Direct
0.000 0.500 0.000
0.500 0.000 0.000
0.000 0.000 0.500
0.500 0.500 0.500
0.500 0.500 0.000
```

# 10
Below is an optimized crystal structure of Ca2AlTePt, with properties calculated at the PBE level.

Calculated values
D(E_F) (states/eV/atom): 0.49
Space group: No. 123
ΔE_f (raw) (eV per atom): -0.834

```
Ca2AlTePt
1.0
5.552 0.000 0.000
0.000 5.552 0.000
0.000 0.000 4.744
Ca Al Te Pt
2 1 1 1
Direct
0.000 0.500 0.000
0.500 0.000 0.000
0.000 0.000 0.500
0.500 0.500 0.500
0.000 0.000 0.000
```

# 11
Below is an optimized crystal structure of Ca2TiAl4Pt3, with properties calculated at the PBE level.

Calculated values
Formation enthalpy at 0 K (eV/atom): -0.80
D(E_F) (states/eV/atom): 0.73
Space group: No. 115

```
Ca2TiAl4Pt3
1.0
4.166 0.000 0.000
0.000 4.166 0.000
0.000 0.000 11.138
Ca Ti Al Pt
2 1 4 3
Direct
0.000 0.500 0.247
0.500 0.000 0.753
0.000 0.000 0.500
0.000 0.000 0.000
0.000 0.500 0.646
0.500 0.000 0.354
0.500 0.500 0.000
0.000 0.500 0.871
0.500 0.000 0.129
0.500 0.500 0.500
```

# 12
Below is an optimized crystal structure of CaTiAlPt2, with properties calculated at the PBE level.

Calculated values
Formation enthalpy at 0 K (eV/atom): -0.94
D(E_F) (states/eV/atom): 0.94
Space group: No. 119

```
CaTiAlPt2
1.0
-2.065 2.065 5.731
2.065 -2.065 5.731
2.065 2.065 -5.731
Ca Ti Al Pt
1 1 1 2
Direct
0.000 0.000 0.000
0.250 0.750 0.500
0.750 0.250 0.500
0.383 0.383 0.000
0.617 0.617 0.000
```